Material: ZnReAg2
Method: DFT, PBE
State: relaxed

Computed properties:
formation energy from the elements = 0.398 eV/atom
Fermi-level density of states = 0.420 states/eV per atom
SG = P4/mmm
mass density = 12.15 g cm⁻³
crystal system = tetragonal

a = 2.6981 Å, b = 2.6981 Å, c = 8.7704 Å
α = 90.00°, β = 90.00°, γ = 90.00°
Closest atoms and distances in Å follow each position.
Fractional coordinates of all 4 atoms:
Ag 0.0000 0.0000 0.9917  4 Ag 2.70, 4 Zn 2.85, 4 Re 2.96
Ag 0.0000 0.0000 0.5083  4 Ag 2.70, 4 Zn 2.85, 4 Re 2.96
Re 0.5000 0.5000 0.2500  4 Re 2.70, 8 Ag 2.96
Zn 0.5000 0.5000 0.7500  4 Zn 2.70, 8 Ag 2.85

Material: Zn2ReAg
Method: DFT, PBE
State: relaxed

Computed properties:
formation energy from the elements = 0.230 eV/atom
excess energy over the best structure of this formula in the dataset = 106 meV per atom
Fermi-level density of states = 0.332 states/eV per atom
SG = Cm
mass density = 11.65 g cm⁻³
crystal system = monoclinic

a = 5.2203 Å, b = 5.2203 Å, c = 4.8280 Å
α = 68.12°, β = 68.12°, γ = 29.94°
Closest atoms and distances in Å follow each position.
Fractional coordinates of all 4 atoms:
Ag 0.5016 0.5016 0.4149  7 Zn 2.70-2.78, 2 Ag 2.70, 3 Re 2.92-2.93
Re 0.7468 0.7468 0.8400  2 Re 2.70, 7 Zn 2.70-2.78, 3 Ag 2.92-2.93
Zn 0.9993 0.9993 0.9133  5 Zn 2.70-2.98, 3 Re 2.70-2.74, 4 Ag 2.75-2.78
Zn 0.2523 0.2523 0.3318  3 Ag 2.70-2.75, 5 Zn 2.70-2.98, 4 Re 2.75-2.78

Material: ZnReAg2
Method: DFT, PBE
State: relaxed

Computed properties:
formation energy from the elements = 0.448 eV/atom
Fermi-level density of states = 0.307 states/eV per atom
SG = Cmmm
mass density = 12.06 g cm⁻³
crystal system = orthorhombic

a = 5.1991 Å, b = 5.1991 Å, c = 2.6510 Å
α = 90.00°, β = 90.00°, γ = 116.14°
Closest atoms and distances in Å follow each position.
Fractional coordinates of all 4 atoms:
Ag 0.0000 0.0000 0.0000  4 Ag 2.65-2.75, 4 Re 2.92, 4 Zn 2.92
Ag 0.5000 0.5000 0.0000  4 Ag 2.65-2.75, 4 Zn 2.92, 4 Re 2.92
Re 0.5000 0.0000 0.5000  2 Re 2.65, 2 Zn 2.75, 8 Ag 2.92
Zn 0.0000 0.5000 0.5000  2 Zn 2.65, 2 Re 2.75, 8 Ag 2.92

Material: ZnReAg2
Method: DFT, PBE
State: relaxed

Computed properties:
formation energy from the elements = 0.451 eV/atom
Fermi-level density of states = 0.789 states/eV per atom
SG = Pm
mass density = 12.03 g cm⁻³
crystal system = monoclinic

a = 4.3385 Å, b = 2.6935 Å, c = 5.6880 Å
α = 76.09°, β = 90.00°, γ = 90.00°
Closest atoms and distances in Å follow each position.
Fractional coordinates of all 4 atoms:
Ag 0.0000 0.8074 0.0056  2 Zn 2.69, 6 Ag 2.69-2.88, 3 Re 2.90-2.95
Ag 0.5000 0.1886 0.2463  1 Zn 2.60, 6 Ag 2.69-2.88
Re 0.0000 0.5489 0.5307  2 Re 2.69, 4 Zn 2.75, 7 Ag 2.90-3.00
Zn 0.5000 0.9551 0.7175  3 Ag 2.60-2.69, 2 Zn 2.69, 4 Re 2.75

Material: ZnReAg2
Method: DFT, PBE
State: relaxed

Computed properties:
formation energy from the elements = 0.900 eV/atom
Fermi-level density of states = 0.345 states/eV per atom
SG = I-42d
mass density = 11.14 g cm⁻³
crystal system = tetragonal

a = 3.7564 Å, b = 3.7564 Å, c = 10.2263 Å
α = 79.42°, β = 79.42°, γ = 90.00°
Closest atoms and distances in Å follow each position.
Fractional coordinates of all 8 atoms:
Re 0.0000 0.0000 0.0000  4 Zn 2.66, 4 Ag 2.80
Re 0.7500 0.2500 0.5000  4 Zn 2.66, 4 Ag 2.80
Zn 0.5000 0.5000 0.0000  4 Re 2.66, 4 Ag 2.80
Zn 0.2500 0.7500 0.5000  4 Re 2.66, 4 Ag 2.80
Ag 0.6241 0.1250 0.2500  4 Ag 2.65-2.66, 2 Zn 2.80, 2 Re 2.80
Ag 0.1259 0.6250 0.2500  4 Ag 2.65-2.66, 2 Zn 2.80, 2 Re 2.80
Ag 0.3750 0.3759 0.7500  4 Ag 2.65-2.66, 2 Zn 2.80, 2 Re 2.80
Ag 0.8750 0.8741 0.7500  4 Ag 2.65-2.66, 2 Zn 2.80, 2 Re 2.80

Material: Zn2ReAg
Method: DFT, PBE
State: relaxed

Computed properties:
formation energy from the elements = 0.238 eV/atom
excess energy over the best structure of this formula in the dataset = 114 meV per atom
Fermi-level density of states = 0.388 states/eV per atom
SG = R3m
mass density = 11.40 g cm⁻³
crystal system = trigonal

a = 9.3952 Å, b = 9.3952 Å, c = 9.3952 Å
α = 17.00°, β = 17.00°, γ = 17.00°
Closest atoms and distances in Å follow each position.
Fractional coordinates of all 4 atoms:
Ag 0.5010 0.5010 0.5010  6 Ag 2.78, 3 Zn 2.82, 3 Re 2.92
Re 0.7464 0.7464 0.7464  3 Zn 2.70, 6 Re 2.78, 3 Ag 2.92
Zn 0.0014 0.0014 0.0014  3 Re 2.70, 9 Zn 2.78-2.82
Zn 0.2513 0.2513 0.2513  9 Zn 2.78-2.82, 3 Ag 2.82

Material: Zn2ReAg
Method: DFT, PBE
State: relaxed

Computed properties:
formation energy from the elements = 0.150 eV/atom
excess energy over the best structure of this formula in the dataset = 27 meV per atom
Fermi-level density of states = 0.299 states/eV per atom
SG = Cmmm
mass density = 11.60 g cm⁻³
crystal system = orthorhombic

a = 2.7020 Å, b = 2.7020 Å, c = 8.7241 Å
α = 90.00°, β = 90.00°, γ = 107.24°
Closest atoms and distances in Å follow each position.
Fractional coordinates of all 4 atoms:
Ag 0.5000 0.5000 0.2500  4 Ag 2.70, 4 Zn 2.74
Re 0.5000 0.5000 0.7500  4 Zn 2.67, 4 Re 2.70
Zn 0.0000 0.0000 0.9950  2 Re 2.67, 4 Zn 2.70, 2 Ag 2.74
Zn 0.0000 0.0000 0.5050  2 Re 2.67, 4 Zn 2.70, 2 Ag 2.74

Material: Zn2ReAg
Method: DFT, PBE
State: relaxed

Computed properties:
formation energy from the elements = 0.502 eV/atom
excess energy over the best structure of this formula in the dataset = 378 meV per atom
Fermi-level density of states = 0.456 states/eV per atom
SG = I-4m2
mass density = 11.53 g cm⁻³
crystal system = tetragonal

a = 5.0850 Å, b = 5.0850 Å, c = 5.0850 Å
α = 136.65°, β = 136.65°, γ = 62.98°
Closest atoms and distances in Å follow each position.
Fractional coordinates of all 4 atoms:
Ag 0.5000 0.5000 0.0000  8 Zn 2.66-2.87, 4 Re 2.87
Re 0.7500 0.2500 0.5000  8 Zn 2.66-2.87, 4 Ag 2.87
Zn 0.0000 0.0000 0.0000  4 Ag 2.66, 4 Zn 2.87, 4 Re 2.87
Zn 0.2500 0.7500 0.5000  4 Re 2.66, 4 Zn 2.87, 4 Ag 2.87

Material: ZnReAg2
Method: DFT, PBE
State: relaxed

Computed properties:
formation energy from the elements = 0.498 eV/atom
Fermi-level density of states = 0.659 states/eV per atom
SG = Pmmm
mass density = 11.96 g cm⁻³
crystal system = orthorhombic

a = 2.7518 Å, b = 4.7848 Å, c = 4.9277 Å
α = 90.00°, β = 90.00°, γ = 90.00°
Closest atoms and distances in Å follow each position.
Fractional coordinates of all 4 atoms:
Ag 0.0000 0.0000 0.0000  6 Ag 2.75-2.76, 4 Re 2.82
Ag 0.5000 0.5000 0.0000  6 Ag 2.75-2.76, 4 Zn 2.82
Re 0.5000 0.0000 0.5000  2 Re 2.75, 4 Zn 2.76, 4 Ag 2.82
Zn 0.0000 0.5000 0.5000  2 Zn 2.75, 4 Re 2.76, 4 Ag 2.82

Material: ZnReAg2
Method: DFT, PBE
State: relaxed

Computed properties:
formation energy from the elements = 0.315 eV/atom
Fermi-level density of states = 0.776 states/eV per atom
SG = P4mm
mass density = 12.14 g cm⁻³
crystal system = tetragonal

a = 2.7166 Å, b = 2.7166 Å, c = 8.6620 Å
α = 90.00°, β = 90.00°, γ = 90.00°
Closest atoms and distances in Å follow each position.
Fractional coordinates of all 4 atoms:
Ag 0.0000 0.0000 0.9871  8 Ag 2.72-3.01, 4 Zn 2.85
Ag 0.5000 0.5000 0.2553  8 Ag 2.72-3.01, 4 Re 2.94
Re 0.0000 0.0000 0.5128  4 Re 2.72, 4 Zn 2.78, 4 Ag 2.94
Zn 0.5000 0.5000 0.7448  4 Zn 2.72, 4 Re 2.78, 4 Ag 2.85

Material: ZnReAg2
Method: DFT, PBE
State: relaxed

Computed properties:
formation energy from the elements = 0.459 eV/atom
Fermi-level density of states = 0.564 states/eV per atom
SG = Cm
mass density = 11.99 g cm⁻³
crystal system = monoclinic

a = 4.9004 Å, b = 4.9004 Å, c = 5.2022 Å
α = 80.95°, β = 80.95°, γ = 31.69°
Closest atoms and distances in Å follow each position.
Fractional coordinates of all 4 atoms:
Ag 0.0069 0.0069 0.0097  5 Ag 2.68-2.87, 2 Zn 2.86, 4 Re 2.88-2.98
Ag 0.2493 0.2493 0.2467  5 Ag 2.68-2.87, 2 Zn 2.80, 3 Re 2.91-2.92
Re 0.4941 0.4941 0.5241  2 Re 2.68, 3 Zn 2.71-2.76, 7 Ag 2.88-2.98
Zn 0.7497 0.7497 0.7195  2 Zn 2.68, 3 Re 2.71-2.76, 4 Ag 2.80-2.86

Material: Zr2ReAg
Method: DFT, PBE
State: relaxed

Computed properties:
formation energy from the elements = -0.178 eV/atom
excess energy over the best structure of this formula in the dataset = 0 meV per atom
Fermi-level density of states = 1.158 states/eV per atom
SG = P4/mmm
mass density = 10.17 g cm⁻³
crystal system = tetragonal

a = 3.3255 Å, b = 3.3255 Å, c = 7.0366 Å
α = 90.00°, β = 90.00°, γ = 90.00°
Closest atoms and distances in Å follow each position.
Fractional coordinates of all 4 atoms:
Re 0.5000 0.5000 0.7500  8 Zr 2.84
Zr 0.0000 0.0000 0.9767  4 Re 2.84, 4 Ag 3.04
Zr 0.0000 0.0000 0.5233  4 Re 2.84, 4 Ag 3.04
Ag 0.5000 0.5000 0.2500  8 Zr 3.04, 4 Ag 3.33

Material: Zr2ReAg
Method: DFT, PBE
State: relaxed

Computed properties:
formation energy from the elements = 0.240 eV/atom
excess energy over the best structure of this formula in the dataset = 418 meV per atom
Fermi-level density of states = 0.981 states/eV per atom
SG = Cmm2
mass density = 10.29 g cm⁻³
crystal system = orthorhombic

a = 2.9021 Å, b = 2.9021 Å, c = 9.8229 Å
α = 90.00°, β = 90.00°, γ = 111.60°
Closest atoms and distances in Å follow each position.
Fractional coordinates of all 4 atoms:
Ag 0.0000 0.0000 0.5144  2 Re 2.86, 4 Ag 2.90, 2 Zr 3.01
Re 0.5000 0.5000 0.7541  2 Zr 2.71, 2 Ag 2.86, 4 Re 2.90
Zr 0.0000 0.0000 0.9743  2 Re 2.71, 4 Zr 2.90
Zr 0.5000 0.5000 0.2572  6 Zr 2.90-3.22, 2 Ag 3.01

Material: Zr2ReAg
Method: DFT, PBE
State: relaxed

Computed properties:
formation energy from the elements = 0.422 eV/atom
excess energy over the best structure of this formula in the dataset = 600 meV per atom
Fermi-level density of states = 0.709 states/eV per atom
SG = I-42d
mass density = 9.70 g cm⁻³
crystal system = tetragonal

a = 7.4795 Å, b = 7.4795 Å, c = 6.0393 Å
α = 51.74°, β = 51.74°, γ = 90.00°
Closest atoms and distances in Å follow each position.
Fractional coordinates of all 8 atoms:
Re 0.0000 0.0000 0.0000  4 Zr 2.66, 2 Ag 2.92
Re 0.7500 0.2500 0.5000  4 Zr 2.66, 2 Ag 2.92
Zr 0.6410 0.1250 0.2500  2 Re 2.66, 2 Ag 2.83, 2 Zr 2.93
Zr 0.1090 0.6250 0.2500  2 Re 2.66, 2 Ag 2.83, 2 Zr 2.93
Zr 0.3750 0.3590 0.7500  2 Re 2.66, 2 Ag 2.83, 2 Zr 2.93
Zr 0.8750 0.8910 0.7500  2 Re 2.66, 2 Ag 2.83, 2 Zr 2.93
Ag 0.5000 0.5000 0.0000  4 Zr 2.83, 2 Re 2.92
Ag 0.2500 0.7500 0.5000  4 Zr 2.83, 2 Re 2.92

Material: Zr6ReAg
Method: DFT, PBE
State: relaxed

Computed properties:
formation energy from the elements = -0.073 eV/atom
Fermi-level density of states = 0.887 states/eV per atom
SG = I4/mmm
mass density = 8.28 g cm⁻³
crystal system = tetragonal

a = 4.7023 Å, b = 4.7023 Å, c = 8.3241 Å
α = 73.59°, β = 73.56°, γ = 90.00°
Closest atoms and distances in Å follow each position.
Fractional coordinates of all 8 atoms:
Zr 0.7477 0.7476 0.5048  12 Zr 3.14-3.33
Zr 0.6116 0.1114 0.7772  2 Re 2.90, 2 Ag 2.90, 4 Zr 3.14-3.19
Zr 0.1114 0.6114 0.7772  2 Re 2.90, 2 Ag 2.90, 4 Zr 3.14-3.19
Zr 0.3884 0.8886 0.2228  2 Re 2.90, 2 Ag 2.90, 4 Zr 3.14-3.19
Zr 0.2523 0.2524 0.4952  12 Zr 3.14-3.33
Zr 0.8886 0.3886 0.2228  2 Re 2.90, 2 Ag 2.90, 4 Zr 3.14-3.19
Re 0.5000 0.5000 0.0000  8 Zr 2.90
Ag 0.0000 0.0000 0.0000  8 Zr 2.90

Material: Zr2ReAg
Method: DFT, PBE
State: relaxed

Computed properties:
formation energy from the elements = 0.261 eV/atom
excess energy over the best structure of this formula in the dataset = 439 meV per atom
Fermi-level density of states = 1.368 states/eV per atom
SG = F-43m
mass density = 10.58 g cm⁻³
crystal system = cubic

a = 4.7299 Å, b = 4.7299 Å, c = 4.7299 Å
α = 60.00°, β = 60.00°, γ = 60.00°
Closest atoms and distances in Å follow each position.
Fractional coordinates of all 4 atoms:
Ag 0.5000 0.5000 0.5000  4 Re 2.90, 4 Zr 2.90
Re 0.7500 0.7500 0.7500  4 Zr 2.90, 4 Ag 2.90
Zr 0.0000 0.0000 0.0000  4 Zr 2.90, 4 Re 2.90
Zr 0.2500 0.2500 0.2500  4 Ag 2.90, 4 Zr 2.90

Material: Zr2ReAg
Method: DFT, PBE
State: relaxed

Computed properties:
formation energy from the elements = 0.229 eV/atom
excess energy over the best structure of this formula in the dataset = 407 meV per atom
Fermi-level density of states = 0.991 states/eV per atom
SG = C2/m
mass density = 9.84 g cm⁻³
crystal system = monoclinic

a = 4.6514 Å, b = 4.6514 Å, c = 5.8545 Å
α = 80.41°, β = 80.41°, γ = 40.18°
Closest atoms and distances in Å follow each position.
Fractional coordinates of all 4 atoms:
Ag 0.7500 0.7500 0.7500  6 Zr 2.88-2.97, 2 Ag 3.20
Re 0.2500 0.2500 0.2500  6 Zr 2.80-2.81
Zr 0.9946 0.9946 0.0218  3 Re 2.80-2.81, 3 Ag 2.88-2.97, 2 Zr 3.13
Zr 0.5054 0.5054 0.4782  3 Re 2.80-2.81, 3 Ag 2.88-2.97, 2 Zr 3.13

Material: Zr2ReAg
Method: DFT, PBE
State: relaxed

Computed properties:
formation energy from the elements = 0.119 eV/atom
excess energy over the best structure of this formula in the dataset = 297 meV per atom
Fermi-level density of states = 1.160 states/eV per atom
SG = R-3m
mass density = 9.86 g cm⁻³
crystal system = trigonal

a = 9.1865 Å, b = 9.1865 Å, c = 9.1865 Å
α = 20.12°, β = 20.12°, γ = 20.12°
Closest atoms and distances in Å follow each position.
Fractional coordinates of all 4 atoms:
Ag 0.2500 0.2500 0.2500  6 Zr 3.06, 6 Ag 3.21
Re 0.7500 0.7500 0.7500  6 Zr 2.77
Zr 0.0069 0.0069 0.0069  3 Re 2.77, 3 Ag 3.06
Zr 0.4931 0.4931 0.4931  3 Re 2.77, 3 Ag 3.06

Material: Zr2ReAg
Method: DFT, PBE
State: relaxed

Computed properties:
formation energy from the elements = 0.223 eV/atom
excess energy over the best structure of this formula in the dataset = 401 meV per atom
Fermi-level density of states = 0.836 states/eV per atom
SG = Pmm2
mass density = 10.07 g cm⁻³
crystal system = orthorhombic

a = 2.8520 Å, b = 4.7896 Å, c = 5.7519 Å
α = 90.00°, β = 90.00°, γ = 90.00°
Closest atoms and distances in Å follow each position.
Fractional coordinates of all 4 atoms:
Ag 0.0000 0.0000 0.4716  6 Zr 2.79-3.01, 2 Ag 2.85
Re 0.5000 0.5000 0.7969  6 Zr 2.75-3.01, 2 Re 2.85
Zr 0.0000 0.0000 0.9571  2 Ag 2.79-2.96, 2 Zr 2.85, 4 Re 2.94
Zr 0.5000 0.5000 0.2744  2 Re 2.75-3.01, 2 Zr 2.85, 4 Ag 3.01

Material: Zr2ReAg
Method: DFT, PBE
State: relaxed

Computed properties:
formation energy from the elements = 0.136 eV/atom
excess energy over the best structure of this formula in the dataset = 314 meV per atom
Fermi-level density of states = 1.059 states/eV per atom
SG = I-4m2
mass density = 10.43 g cm⁻³
crystal system = tetragonal

a = 5.3052 Å, b = 5.3052 Å, c = 5.3052 Å
α = 134.05°, β = 134.05°, γ = 67.01°
Closest atoms and distances in Å follow each position.
Fractional coordinates of all 4 atoms:
Ag 0.5000 0.5000 0.0000  8 Zr 2.93-3.03, 4 Re 3.03
Re 0.7500 0.2500 0.5000  8 Zr 2.93-3.03, 4 Ag 3.03
Zr 0.0000 0.0000 0.0000  4 Ag 2.93, 4 Re 3.03, 4 Zr 3.03
Zr 0.2500 0.7500 0.5000  4 Re 2.93, 4 Zr 3.03, 4 Ag 3.03